1:
RbNiAs2: optimized geometry, PBE-GGA.

Cell: 5.3496 5.3496 8.5256 Å, 71.72 71.72 90.00°
Last column: nearest neighbours and their distance in Å.
Element x y z (fractional)
Ni (0.2500, 0.7500, 0.5000)  4 As 2.33
Ni (0.5000, 0.5000, 0.0000)  4 As 2.33
As (0.3747, 0.6250, 0.2500)  2 Ni 2.33
As (0.3753, 0.1250, 0.2500)  2 Ni 2.33
As (0.8750, 0.6253, 0.7500)  2 Ni 2.33
As (0.3750, 0.6247, 0.7500)  2 Ni 2.33
Rb (0.0000, 0.0000, 0.0000)  8 As 3.55, 4 Ni 3.78
Rb (0.7500, 0.2500, 0.5000)  8 As 3.55, 4 Ni 3.78

As for the total moment: 0.000 μB per atom.

2:
RbNiAs2: optimized geometry, PBE-GGA.

Cell: 4.9209 4.9209 4.9209 Å, 60.00 60.00 60.00°
Last column: nearest neighbours and their distance in Å.
Element x y z (fractional)
Ni (0.0000, 0.0000, 0.0000)  8 As 3.01
As (0.7500, 0.7500, 0.7500)  4 Rb 3.01, 4 Ni 3.01
As (0.2500, 0.2500, 0.2500)  4 Ni 3.01, 4 Rb 3.01
Rb (0.5000, 0.5000, 0.5000)  8 As 3.01

As for the total moment: 0.000 μB per atom.

3:
RbNiAs2: optimized geometry, PBE-GGA.

Cell: 3.4138 3.4138 7.4226 Å, 90.00 90.00 90.00°
Last column: nearest neighbours and their distance in Å.
Element x y z (fractional)
Ni (0.5000, 0.5000, 0.0000)  8 As 2.68
As (0.0000, 0.0000, 0.8418)  1 As 2.35
As (0.0000, 0.0000, 0.1582)  1 As 2.35
Rb (0.5000, 0.5000, 0.5000)  4 Rb 3.41, 8 As 3.50, 2 Ni 3.71

As for the total moment: 0.000 μB per atom.

4:
RbNiAs2: optimized geometry, PBE-GGA.

Cell: 3.8425 3.8425 8.8210 Å, 77.42 77.42 60.00°
Last column: nearest neighbours and their distance in Å.
Element x y z (fractional)
As (0.1292, 0.1292, 0.6124)  3 Ni 2.42
As (0.8708, 0.8708, 0.3876)  3 Ni 2.42
Rb (0.0000, 0.0000, 0.0000)  2 As 3.31
Ni (0.5000, 0.5000, 0.5000)  6 As 2.42

As for the total moment: 0.000 μB per atom.

Structures ranked by computed energy, the most stable listed first: 1, 4, 3, 2.